A relaxed Li2Cr3FeO8 crystal. Source: the Alexandria database, functional GGA+U.

Computed properties:
Energy relative to the lowest polymorph listed for this composition = 14.7 meV per atom

abc: 5.9207 5.9207 14.4043
angles: 90.00 90.00 120.00
Closest atoms and distances in Å follow each position.
Space group R3m (No. 160, hexagonal axes)
Inequivalent atoms, fractional coordinates:
Li 0.0000 0.0000 0.0000 [3 per cell]  6 O 2.08-2.12
Li 0.0000 0.0000 0.3761 [3 per cell]  4 O 1.97-1.99
Cr 0.1712 0.3424 0.8313 [9 per cell]  6 O 1.90-2.07
Fe 0.0000 0.0000 0.6185 [3 per cell]  4 O 1.91-1.97
O 0.0000 0.0000 0.2396 [3 per cell]  1 Li 1.97, 3 Cr 1.98
O 0.0000 0.0000 0.7550 [3 per cell]  1 Fe 1.97, 3 Cr 2.07
O 0.0232 0.5116 0.7636 [9 per cell]  2 Cr 1.90, 2 Li 1.99-2.12
O 0.1764 0.3528 0.5757 [9 per cell]  1 Fe 1.91, 2 Cr 2.02, 1 Li 2.08